A:
Density functional theory data (PBE) for crystalline AlCuF at its relaxed geometry.

It has space group Pmmn (No. 59, origin choice 2), with a = 2.705 Å, b = 3.030 Å, c = 9.734 Å, α = 90.00°, β = 90.00° and γ = 90.00°. The inequivalent atoms are Al at (0.250, 0.250, 0.239), Cu at (0.250, 0.250, 0.916) and F at (0.250, 0.750, 0.628).



B:
Density functional theory data (PBE) for crystalline AlCuF at its relaxed geometry.

It has space group Cm (No. 8), with a = 8.737 Å, b = 2.807 Å, c = 6.747 Å, α = 90.00°, β = 91.74° and γ = 90.00°. The inequivalent atoms are Al at (0.000, 0.000, 0.000), Al at (0.094, 0.000, 0.511), Cu at (0.205, 0.500, 0.850), Cu at (0.417, 0.000, 0.720), F at (0.198, 0.500, 0.395) and F at (0.478, 0.500, 0.265).



Most stable: A



A:
Density functional theory data (PBE) for crystalline AlCuF3 at its relaxed geometry.

It has space group Pm-3m (No. 221), with a = 4.076 Å, b = 4.076 Å, c = 4.076 Å, α = 90.00°, β = 90.00° and γ = 90.00°. The inequivalent atoms are Al at (0.000, 0.000, 0.000), Cu at (0.500, 0.500, 0.500) and F at (0.000, 0.500, 0.500).



B:
Density functional theory data (PBE) for crystalline AlCuF3 at its relaxed geometry.

It has space group Pm-3m (No. 221), with a = 3.846 Å, b = 3.846 Å, c = 3.846 Å, α = 90.00°, β = 90.00° and γ = 90.00°. The inequivalent atoms are Al at (0.000, 0.000, 0.000), Cu at (0.500, 0.500, 0.500) and F at (0.000, 0.000, 0.500).



Most stable: B



A:
Density functional theory data (PBE) for crystalline AlCuF2 at its relaxed geometry.

It has space group R-3m (No. 166, hexagonal axes), with a = 2.8130 Å, b = 2.8130 Å, c = 27.7203 Å, α = 90.00°, β = 90.00° and γ = 120.00°. The inequivalent atoms are Al at (0.0000, 0.0000, 0.0000), Cu at (0.0000, 0.0000, 0.5000) and F at (0.0000, 0.0000, 0.3796).



B:
Density functional theory data (PBE) for crystalline AlCuF2 at its relaxed geometry.

It has space group Fd-3m (No. 227, origin choice 2), with a = 8.086 Å, b = 8.086 Å, c = 8.086 Å, α = 90.00°, β = 90.00° and γ = 90.00°. The inequivalent atoms are Al at (0.125, 0.125, 0.125), Cu at (0.125, 0.125, 0.625) and F at (0.000, 0.000, 0.000).



Most stable: B



A:
Density functional theory data (PBE) for crystalline AlCu2F at its relaxed geometry.

It has space group I-42d (No. 122), with a = 6.613 Å, b = 6.613 Å, c = 4.750 Å, α = 90.00°, β = 90.00° and γ = 90.00°. The inequivalent atoms are Al at (0.000, 0.000, 0.000), Cu at (0.221, 0.250, 0.625) and F at (0.000, 0.000, 0.500).



B:
Density functional theory data (PBE) for crystalline AlCu2F at its relaxed geometry.

It has space group Fm-3m (No. 225), with a = 5.963 Å, b = 5.963 Å, c = 5.963 Å, α = 90.00°, β = 90.00° and γ = 90.00°. The inequivalent atoms are Al at (0.000, 0.000, 0.000), Cu at (0.250, 0.250, 0.250) and F at (0.000, 0.000, 0.500).



Most stable: A